# 1
NaGdMgTe3 | PBE | relaxed

Output
Its space group is P2_1/m. The energy above the lowest structure with this stoichiometry comes out at 0.000 eV per atom.

Lattice parameters (Å, degrees): 8.9111 4.4936 10.7789 90.00 105.39 90.00
Fractional coordinates of all 12 atoms:
1 Na 0.1911 0.2500 0.1809
2 Na 0.8089 0.7500 0.8191
3 Gd 0.3272 0.7500 0.8567
4 Gd 0.6728 0.2500 0.1433
5 Mg 0.0821 0.2500 0.6031
6 Mg 0.9179 0.7500 0.3969
7 Te 0.0820 0.2500 0.8598
8 Te 0.2369 0.7500 0.5429
9 Te 0.4377 0.7500 0.1553
10 Te 0.5623 0.2500 0.8447
11 Te 0.7631 0.2500 0.4571
12 Te 0.9180 0.7500 0.1402


# 2
Hf3Sc3Sb2Os | PBE | relaxed

Output
Its space group is P-62m. The energy above the lowest structure with this stoichiometry comes out at 0.104 eV per atom.

Lattice parameters (Å, degrees): 7.6958 7.6958 3.7275 90.00 90.00 120.00
Fractional coordinates of all 9 atoms:
1 Hf 0.0000 0.6135 0.0000
2 Hf 0.3865 0.3865 0.0000
3 Hf 0.6135 0.0000 0.0000
4 Sc 0.0000 0.2468 0.5000
5 Sc 0.2468 0.0000 0.5000
6 Sc 0.7532 0.7532 0.5000
7 Sb 0.3333 0.6667 0.5000
8 Sb 0.6667 0.3333 0.5000
9 Os 0.0000 0.0000 0.0000


# 3
Ta4SiPbC2 | PBE | relaxed

Output
Its space group is P-6m2.

Lattice parameters (Å, degrees): 3.2627 3.2627 13.2098 90.00 90.00 120.00
Fractional coordinates of all 8 atoms:
1 Ta 0.0000 0.0000 0.1413
2 Ta 0.0000 0.0000 0.8587
3 Ta 0.6667 0.3333 0.3162
4 Ta 0.6667 0.3333 0.6838
5 Si 0.6667 0.3333 0.0000
6 Pb 0.0000 0.0000 0.5000
7 C 0.3333 0.6667 0.2314
8 C 0.3333 0.6667 0.7686


| no. | final energy (eV/atom) |
| --- | --- |
| 1 | -3.946 |
| 2 | -8.078 |
| 3 | -9.712 |